First-principles (PBE) data for a relaxed structure of LuScPt4, as listed in Alexandria via LeMat-Bulk.

Geometry as extended XYZ:
```
6
Lattice="-3.864 -3.374 -1.538 1.120 -3.983 -3.400 0.027 -5.069 1.729" Properties=species:S:1:pos:R:3 pbc="T T T"
Sc -0.679 -3.107 -0.802
Lu 0.000 0.000 0.000
Pt -1.711 -5.232 -2.870
Pt -2.258 -5.775 -0.306
Pt -1.698 -7.766 -2.006
Pt 0.234 -6.079 -1.237
```

Values from the calculation:
Calculated volume = 18.10 Å³/atom
Final energy = -6.879 eV/atom
Formation energy = -1.0426 eV per atom